First-principles (PBE-GGA) data for ZrMoRu after structural relaxation, as listed in Alexandria via LeMat-Bulk.

```
data_ZrMoRu
_cell_length_a 4.5733
_cell_length_b 9.8059
_cell_length_c 4.5867
_cell_angle_alpha 90.00
_cell_angle_beta 90.00
_cell_angle_gamma 90.00
_space_group_name_H-M_alt 'C m c m'
_space_group_IT_number 63
_space_group_name_Hall '-C 2c 2'
loop_
_atom_site_label
_atom_site_fract_x
_atom_site_fract_y
_atom_site_fract_z
Zr1 0.0000 0.2435 0.2500
Mo1 0.0000 0.4336 0.7500
Ru1 0.0000 0.0896 0.7500
```

Properties
Calculated formation energy, meV/atom: -142
Energy above the lowest structure with this stoichiometry, meV per atom: 71.1
Size of the total moment, μB/atom: 0.00